Computed, not measured: a geometry-optimized Nb3RuN structure at the GGA-PBEsol level of DFT.

a = 4.705 Å, b = 4.705 Å, c = 4.705 Å
α = 90.00°, β = 90.00°, γ = 90.00°
Atoms (fractional coordinates):
Ru1 0.000 0.000 0.000
N1 0.500 0.500 0.500
Nb1 0.000 0.000 0.500
Nb2 0.500 0.000 0.000
Nb3 0.000 0.500 0.000

- E_form (uncorrected) (eV/f.u.) = 10.418
- space-group type = Pm-3m, No. 221



Computed, not measured: a geometry-optimized CaMg30CrO32 structure at the GGA-PBEsol level of DFT.

a = 8.455 Å, b = 8.511 Å, c = 8.511 Å
α = 90.00°, β = 90.00°, γ = 90.00°
Atoms (fractional coordinates):
O1 0.250 0.750 0.250
O2 0.000 0.262 0.000
O3 0.500 0.500 0.251
Mg1 0.000 0.000 0.500
Mg2 0.250 0.500 0.251
O4 0.250 0.250 0.750
Mg3 0.500 0.749 0.251
O5 0.500 0.749 0.500
Mg4 0.000 0.253 0.747
Mg5 0.253 0.746 0.000
Mg6 0.000 0.500 0.000
O6 0.749 0.500 0.000
Mg7 0.500 0.500 0.500
O7 0.500 0.251 0.500
Mg8 0.000 0.747 0.747
O8 0.000 0.000 0.738
Mg9 0.750 0.500 0.251
Mg10 0.253 0.000 0.254
O9 0.250 0.750 0.750
O10 0.000 0.500 0.748
Cr1 0.500 0.000 0.000
O11 0.500 0.000 0.741
Mg11 0.253 0.254 0.000
Mg12 0.000 0.747 0.253
O12 0.250 0.500 0.500
O13 0.251 0.500 0.000
Mg13 0.747 0.000 0.254
Ca1 0.000 0.000 0.000
O14 0.500 0.259 0.000
Mg14 0.747 0.254 0.000
Mg15 0.747 0.000 0.746
O15 0.750 0.750 0.250
O16 0.749 0.000 0.500
O17 0.250 0.250 0.250
O18 0.750 0.500 0.500
O19 0.750 0.250 0.750
O20 0.500 0.000 0.259
Mg16 0.000 0.253 0.253
Mg17 0.250 0.500 0.749
O21 0.750 0.250 0.250
Mg18 0.500 0.500 0.000
O22 0.500 0.741 0.000
O23 0.000 0.252 0.500
O24 0.500 0.500 0.749
O25 0.000 0.748 0.500
Mg19 0.253 0.000 0.746
Mg20 0.500 0.749 0.749
Mg21 0.250 0.251 0.500
Mg22 0.750 0.500 0.749
O26 0.736 0.000 0.000
O27 0.000 0.500 0.252
O28 0.264 0.000 0.000
Mg23 0.500 0.251 0.749
O29 0.000 0.738 0.000
Mg24 0.500 0.251 0.251
Mg25 0.500 0.000 0.500
Mg26 0.747 0.746 0.000
O30 0.251 0.000 0.500
Mg27 0.750 0.251 0.500
Mg28 0.750 0.749 0.500
Mg29 0.000 0.500 0.500
O31 0.000 0.000 0.262
O32 0.750 0.750 0.750
Mg30 0.250 0.749 0.500

- E_form (uncorrected) (eV/f.u.) = -171.750
- space-group type = P4/mmm, No. 123



Computed, not measured: a geometry-optimized CrTe2N structure at the GGA-PBEsol level of DFT.

a = 3.274 Å, b = 3.274 Å, c = 8.728 Å
α = 79.19°, β = 79.19°, γ = 60.00°
Atoms (fractional coordinates):
N1 0.500 0.500 0.500
Te1 0.896 0.896 0.311
Cr1 0.000 0.000 0.000
Te2 0.104 0.104 0.689

- E_form (uncorrected) (eV/f.u.) = 4.829
- space-group type = R-3m, No. 166



Computed, not measured: a geometry-optimized ScS3N structure at the GGA-PBEsol level of DFT.

a = 4.902 Å, b = 4.902 Å, c = 4.902 Å
α = 90.00°, β = 90.00°, γ = 90.00°
Atoms (fractional coordinates):
Sc1 0.000 0.000 0.000
N1 0.500 0.500 0.500
S1 0.000 0.000 0.500
S2 0.000 0.500 0.000
S3 0.500 0.000 0.000

- E_form (uncorrected) (eV/f.u.) = 3.974
- space-group type = Pm-3m, No. 221



Computed, not measured: a geometry-optimized NaLa2Pb2 structure at the GGA-PBEsol level of DFT.

a = 3.765 Å, b = 9.324 Å, c = 9.324 Å
α = 90.00°, β = 90.00°, γ = 90.00°
Atoms (fractional coordinates):
Pb1 0.000 0.167 0.333
La1 0.500 0.866 0.366
Na1 0.000 0.500 0.500
La2 0.500 0.134 0.634
Na2 0.000 0.000 0.000
Pb2 0.000 0.833 0.667
La3 0.500 0.366 0.134
Pb3 0.000 0.667 0.167
La4 0.500 0.634 0.866
Pb4 0.000 0.333 0.833

- DFT total energy (eV/f.u.) = -22.24
- space-group type = P4/mbm, No. 127



Computed, not measured: a geometry-optimized CuTe2W structure at the GGA-PBEsol level of DFT.

a = 3.468 Å, b = 5.308 Å, c = 4.336 Å
α = 90.00°, β = 90.00°, γ = 109.04°
Atoms (fractional coordinates):
Te1 0.011 0.897 0.000
W1 0.297 0.469 0.000
Te2 0.726 0.328 0.500
Cu1 0.465 0.805 0.500

- E_form (uncorrected) (eV/f.u.) = 1.482
- space-group type = Amm2, No. 38



Computed, not measured: a geometry-optimized CaY2In structure at the GGA-PBEsol level of DFT.

a = 4.735 Å, b = 4.877 Å, c = 4.877 Å
α = 90.00°, β = 90.00°, γ = 90.00°
Atoms (fractional coordinates):
In1 0.500 0.000 0.000
Y1 0.000 0.000 0.500
Ca1 0.500 0.500 0.500
Y2 0.000 0.500 0.000

- DFT total energy (eV/f.u.) = -19.79
- space-group type = P4/mmm, No. 123



Computed, not measured: a geometry-optimized AlRuPt2 structure at the GGA-PBEsol level of DFT.

a = 2.724 Å, b = 4.598 Å, c = 4.598 Å
α = 90.00°, β = 90.00°, γ = 90.00°
Atoms (fractional coordinates):
Pt1 0.000 0.000 0.500
Al1 0.500 0.000 0.000
Pt2 0.000 0.500 0.000
Ru1 0.500 0.500 0.500

- DFT total energy (eV/f.u.) = -29.60
- space-group type = P4/mmm, No. 123



One value per record, in order, for Fermi-level density of states: 1.14; 0.04; 0.59; 0.80; 0.76; 0.58; 0.91; 0.88 states/eV/atom.